Below is a relaxed BaZr3Se crystal, with properties calculated at the PBE level.

Values from the calculation:
**Relative energy among the computed polymorphs**: 1.695 eV per atom
**Crystal system**: cubic
**DFT total energy**: -4.486 eV per atom
**Calculated volume**: 29.78 Å³/atom
**E_form (uncorrected)**: 1.725 eV per atom

a = 5.3001 Å, b = 5.3001 Å, c = 5.3001 Å
α = 90.00°, β = 90.00°, γ = 90.00°
Fractional positions:
Ba 0.0000 0.0000 0.0000
Zr 0.0000 0.0000 0.5000
Zr 0.5000 0.0000 0.0000
Zr 0.0000 0.5000 0.0000
Se 0.5000 0.5000 0.5000

Below is a relaxed BaZr3Se crystal, with properties calculated at the PBE level.

Values from the calculation:
**Relative energy among the computed polymorphs**: 0.000 eV per atom
**Crystal system**: cubic
**DFT total energy**: -6.181 eV per atom
**Calculated volume**: 28.51 Å³/atom
**E_form (uncorrected)**: 0.030 eV per atom

a = 5.2236 Å, b = 5.2236 Å, c = 5.2236 Å
α = 90.00°, β = 90.00°, γ = 90.00°
Fractional positions:
Zr 0.0000 0.5000 0.0000
Zr 0.5000 0.0000 0.0000
Zr 0.0000 0.0000 0.5000
Ba 0.5000 0.5000 0.5000
Se 0.0000 0.0000 0.0000

Below is a relaxed BaZrSe crystal, with properties calculated at the PBE level.

Values from the calculation:
**Relative energy among the computed polymorphs**: 0.000 eV per atom
**Crystal system**: trigonal
**DFT total energy**: -5.289 eV per atom
**Calculated volume**: 30.90 Å³/atom
**E_form (uncorrected)**: -0.637 eV per atom

a = 3.9041 Å, b = 3.9041 Å, c = 7.0224 Å
α = 90.00°, β = 90.00°, γ = 120.00°
Fractional positions:
Se 0.3333 0.6667 0.3704
Ba 0.0000 0.0000 0.0455
Zr 0.6667 0.3333 0.5841

Below is a relaxed Ba4ZrSe crystal, with properties calculated at the PBE level.

Values from the calculation:
**Crystal system**: cubic
**DFT total energy**: -2.760 eV per atom
**Calculated volume**: 43.51 Å³/atom
**E_form (uncorrected)**: 0.527 eV per atom

a = 7.1736 Å, b = 7.1736 Å, c = 7.1736 Å
α = 60.00°, β = 60.00°, γ = 60.00°
Each line ends with the local moment (μB).
Fractional positions:
Zr 0.0000 0.0000 0.0000  1.54
Ba 0.3752 0.8744 0.3752  0.09
Ba 0.3752 0.3752 0.8744  0.09
Ba 0.8744 0.3752 0.3752  0.09
Ba 0.3752 0.3752 0.3752  0.09
Se 0.7500 0.7500 0.7500  0.01

Below is a relaxed Ba3Zr5Se12 crystal, with properties calculated at the PBE level.

Values from the calculation:
**Crystal system**: cubic
**DFT total energy**: -5.942 eV per atom
**Calculated volume**: 31.77 Å³/atom
**E_form (uncorrected)**: -1.426 eV per atom

a = 14.8902 Å, b = 14.8902 Å, c = 14.8902 Å
α = 109.47°, β = 109.47°, γ = 109.47°
Each line ends with the local moment (μB).
Fractional positions:
Se 0.6795 0.2002 0.5873  -0.01
Se 0.1130 0.7002 0.5207  -0.01
Se 0.0207 0.4077 0.8205  -0.01
Se 0.4793 0.7998 0.8870  -0.01
Se 0.3205 0.5207 0.4077  -0.01
Se 0.4793 0.6795 0.0923  -0.01
Se 0.5923 0.9793 0.6795  -0.01
Se 0.7998 0.4793 0.3870  -0.01
Se 0.0207 0.6130 0.7002  -0.01
Se 0.8870 0.5873 0.9077  -0.01
Se 0.0923 0.9127 0.1130  -0.01
Se 0.9077 0.0873 0.8870  -0.01
Se 0.2998 0.8870 0.9793  -0.01
Se 0.6130 0.5923 0.9127  -0.01
Se 0.7998 0.3205 0.9127  -0.01
Se 0.2998 0.4127 0.8205  -0.01
Se 0.6795 0.4793 0.5923  -0.01
Se 0.1130 0.4127 0.0923  -0.01
Se 0.9077 0.8205 0.5207  -0.01
Se 0.9793 0.3870 0.2998  -0.01
Se 0.0873 0.9077 0.3870  -0.01
Se 0.4127 0.1130 0.5923  -0.01
Se 0.0873 0.1795 0.2002  -0.01
Se 0.7002 0.5873 0.1795  -0.01
Se 0.2002 0.6795 0.0873  -0.01
Se 0.3870 0.4077 0.0873  -0.01
Se 0.3870 0.9793 0.7998  -0.01
Se 0.9127 0.0923 0.6130  -0.01
Se 0.1795 0.0873 0.7002  -0.01
Se 0.4127 0.2998 0.3205  -0.01
Se 0.5207 0.3205 0.9077  -0.01
Se 0.9793 0.5923 0.1795  -0.01
Se 0.5923 0.6130 0.4127  -0.01
Se 0.5873 0.8870 0.4077  -0.01
Se 0.7002 0.1130 0.0207  -0.01
Se 0.4077 0.3870 0.5873  -0.01
Se 0.5873 0.7002 0.6795  -0.01
Se 0.8205 0.9127 0.2998  -0.01
Se 0.2002 0.5207 0.6130  -0.01
Se 0.8870 0.2998 0.4793  -0.01
Se 0.6130 0.0207 0.2002  -0.01
Se 0.0923 0.1795 0.4793  -0.01
Se 0.4077 0.0207 0.3205  -0.01
Se 0.8205 0.9077 0.0207  -0.01
Se 0.9127 0.8205 0.7998  -0.01
Se 0.3205 0.7998 0.4127  -0.01
Se 0.1795 0.0923 0.9793  -0.01
Se 0.5207 0.2002 0.1130  -0.01
Zr 0.7500 0.6250 0.3750  0.20
Zr 0.6250 0.8750 0.2500  0.20
Zr 0.3750 0.2500 0.1250  0.20
Zr 0.7500 0.1250 0.8750  0.20
Zr 0.5000 0.0000 0.5000  0.48
Zr 0.6250 0.7500 0.8750  0.20
Zr 0.5000 0.5000 0.5000  0.48
Zr 0.2500 0.3750 0.6250  0.20
Zr 0.0000 0.5000 0.0000  0.48
Zr 0.5000 0.5000 0.0000  0.48
Zr 0.0000 0.5000 0.5000  0.48
Zr 0.2500 0.8750 0.1250  0.20
Zr 0.8750 0.6250 0.7500  0.20
Zr 0.5000 0.0000 0.0000  0.48
Zr 0.1250 0.3750 0.2500  0.20
Zr 0.8750 0.2500 0.6250  0.20
Zr 0.3750 0.1250 0.7500  0.20
Zr 0.0000 0.0000 0.0000  0.48
Zr 0.1250 0.7500 0.3750  0.20
Zr 0.0000 0.0000 0.5000  0.48
Ba 0.1250 0.8750 0.7500  0.00
Ba 0.7500 0.8750 0.6250  0.00
Ba 0.6250 0.3750 0.7500  0.00
Ba 0.7500 0.3750 0.1250  0.00
Ba 0.2500 0.1250 0.3750  0.00
Ba 0.6250 0.2500 0.3750  0.00
Ba 0.8750 0.1250 0.2500  0.00
Ba 0.3750 0.7500 0.6250  0.00
Ba 0.8750 0.7500 0.1250  0.00
Ba 0.1250 0.2500 0.8750  0.00
Ba 0.3750 0.6250 0.2500  0.00
Ba 0.2500 0.6250 0.8750  0.00

Below is a relaxed BaZrSe3 crystal, with properties calculated at the PBE level.

Values from the calculation:
**Crystal system**: cubic
**DFT total energy**: -3.688 eV per atom
**Calculated volume**: 39.07 Å³/atom
**E_form (uncorrected)**: 0.497 eV per atom

a = 5.8025 Å, b = 5.8025 Å, c = 5.8025 Å
α = 90.00°, β = 90.00°, γ = 90.00°
Each line ends with the local moment (μB).
Fractional positions:
Se 0.0000 0.0000 0.5000  -0.42
Se 0.0000 0.5000 0.0000  -0.35
Se 0.5000 0.0000 0.0000  -0.22
Zr 0.5000 0.5000 0.5000  1.38
Ba 0.0000 0.0000 0.0000  -0.06

| no. | total magnetic moment (μB/f.u.) |
| --- | --- |
| 1 | 0.00 |
| 2 | 0.00 |
| 3 | 0.14 |
| 4 | 3.98 |
| 5 | 2.12 |
| 6 | 0.39 |